# PBE CeY2Ni9, optimized geometry
data_CeY2Ni9
_chemical_formula_sum 'Ce2 Y4 Ni18'
_space_group_name_H-M_alt 'P 63/m m c'
_space_group_IT_number 194
_space_group_name_Hall '-P 6c 2c'
_cell_length_a 4.9723
_cell_length_b 4.9723
_cell_length_c 16.3131
_cell_angle_alpha 90.00
_cell_angle_beta 90.00
_cell_angle_gamma 120.00
loop_
_atom_site_label
_atom_site_type_symbol
_atom_site_fract_x
_atom_site_fract_y
_atom_site_fract_z
Ce1 Ce 0.3333 0.6667 0.2500
Y1 Y 0.3333 0.6667 0.0410
Ni1 Ni 0.0000 0.0000 0.0000
Ni2 Ni 0.0000 0.0000 0.2500
Ni3 Ni 0.1669 0.3339 0.6263
Ni4 Ni 0.3333 0.6667 0.7500
# - energy (eV per atom) = -6.30
# - V (Å³/cell) = 349
# - energy of formation from the pure elements (eV per atom) = -0.3961

# PBE Tl2Cd5Bi, optimized geometry
data_Tl2Cd5Bi
_chemical_formula_sum 'Tl2 Cd5 Bi1'
_space_group_name_H-M_alt 'P 4/m m m'
_space_group_IT_number 123
_space_group_name_Hall '-P 4 2'
_cell_length_a 7.010
_cell_length_b 7.010
_cell_length_c 5.663
_cell_angle_alpha 90.00
_cell_angle_beta 90.00
_cell_angle_gamma 90.00
loop_
_atom_site_label
_atom_site_type_symbol
_atom_site_fract_x
_atom_site_fract_y
_atom_site_fract_z
Tl1 Tl 0.000 0.500 0.000
Cd1 Cd 0.000 0.000 0.000
Cd2 Cd 0.298 0.298 0.500
Bi1 Bi 0.000 0.000 0.500
# - energy (eV per atom) = -1.43
# - V (Å³/cell) = 278
# - energy of formation from the pure elements (eV per atom) = 0.2196

# PBE Nd6SmSc2, optimized geometry
data_Nd6SmSc2
_chemical_formula_sum 'Nd12 Sm2 Sc4'
_space_group_name_H-M_alt 'P 42/m n m'
_space_group_IT_number 136
_space_group_name_Hall '-P 4n 2n'
_cell_length_a 8.080
_cell_length_b 8.080
_cell_length_c 10.420
_cell_angle_alpha 90.00
_cell_angle_beta 90.00
_cell_angle_gamma 90.00
loop_
_atom_site_label
_atom_site_type_symbol
_atom_site_fract_x
_atom_site_fract_y
_atom_site_fract_z
Nd1 Nd 0.232 0.232 0.000
Nd2 Nd 0.242 0.242 0.331
Sm1 Sm 0.000 0.000 0.500
Sc1 Sc 0.000 0.000 0.164
# - energy (eV per atom) = -4.55
# - V (Å³/cell) = 680
# - energy of formation from the pure elements (eV per atom) = 0.5622

# PBE LiPaRhN3, optimized geometry
data_LiPaRhN3
_chemical_formula_sum 'Li2 Pa2 Rh2 N6'
_space_group_name_H-M_alt 'P 1 21/m 1'
_space_group_IT_number 11
_cell_length_a 5.903
_cell_length_b 3.269
_cell_length_c 7.687
_cell_angle_alpha 90.00
_cell_angle_beta 106.64
_cell_angle_gamma 90.00
loop_
_space_group_symop_operation_xyz
'x,y,z'
'-x,-y,-z'
'-x,y+1/2,-z'
'x,-y+1/2,z'
loop_
_atom_site_label
_atom_site_type_symbol
_atom_site_fract_x
_atom_site_fract_y
_atom_site_fract_z
Li1 Li 0.150 0.250 0.081
Pa1 Pa 0.298 0.750 0.779
Rh1 Rh 0.314 0.750 0.352
N1 N 0.056 0.250 0.809
N2 N 0.326 0.250 0.533
N3 N 0.403 0.750 0.110
# - raw formation energy (meV per atom) = -627
# - energy (eV per atom) = -7.92
# - V (Å³/cell) = 142

# PBE TePt, optimized geometry
data_TePt
_chemical_formula_sum 'Te8 Pt8'
_space_group_name_H-M_alt 'I -4 3 m'
_space_group_IT_number 217
_space_group_name_Hall 'I -4 2 3'
_cell_length_a 8.243
_cell_length_b 8.243
_cell_length_c 8.243
_cell_angle_alpha 90.00
_cell_angle_beta 90.00
_cell_angle_gamma 90.00
loop_
_atom_site_label
_atom_site_type_symbol
_atom_site_fract_x
_atom_site_fract_y
_atom_site_fract_z
Te1 Te 0.159 0.159 0.159
Pt1 Pt 0.163 0.163 0.837
# - raw formation energy (meV per atom) = 30
# - energy (eV per atom) = -4.56
# - V (Å³/cell) = 560

# PBE LuScNiAu, optimized geometry
data_LuScNiAu
_chemical_formula_sum 'Lu4 Sc4 Ni4 Au4'
_space_group_name_H-M_alt 'F -4 3 m'
_space_group_IT_number 216
_space_group_name_Hall 'F -4 2 3'
_cell_length_a 6.736
_cell_length_b 6.736
_cell_length_c 6.736
_cell_angle_alpha 90.00
_cell_angle_beta 90.00
_cell_angle_gamma 90.00
loop_
_atom_site_label
_atom_site_type_symbol
_atom_site_fract_x
_atom_site_fract_y
_atom_site_fract_z
Lu1 Lu 0.000 0.000 0.000
Sc1 Sc 0.000 0.000 0.500
Ni1 Ni 0.250 0.250 0.250
Au1 Au 0.250 0.250 0.750
# - energy (eV per atom) = -5.60
# - V (Å³/cell) = 306
# - energy of formation from the pure elements (eV per atom) = -0.6236

# PBE AcMg2ZnHg2, optimized geometry
data_AcMg2ZnHg2
_chemical_formula_sum 'Ac2 Mg4 Zn2 Hg4'
_space_group_name_H-M_alt 'I 4/m m m'
_space_group_IT_number 139
_space_group_name_Hall '-I 4 2'
_cell_length_a 5.377
_cell_length_b 5.377
_cell_length_c 11.928
_cell_angle_alpha 90.00
_cell_angle_beta 90.00
_cell_angle_gamma 90.00
loop_
_atom_site_label
_atom_site_type_symbol
_atom_site_fract_x
_atom_site_fract_y
_atom_site_fract_z
Ac1 Ac 0.000 0.000 0.000
Mg1 Mg 0.000 0.500 0.250
Zn1 Zn 0.000 0.000 0.500
Hg1 Hg 0.000 0.000 0.287
# - energy (eV per atom) = -1.58
# - V (Å³/cell) = 345
# - energy of formation from the pure elements (eV per atom) = -0.0493

# PBE Pr6NdTm2Mg, optimized geometry
data_Pr6NdTm2Mg
_chemical_formula_sum 'Pr24 Nd4 Tm8 Mg4'
_space_group_name_H-M_alt 'C 1 2/c 1'
_space_group_IT_number 15
_cell_length_a 10.451
_cell_length_b 13.857
_cell_length_c 9.538
_cell_angle_alpha 90.00
_cell_angle_beta 100.42
_cell_angle_gamma 90.00
loop_
_space_group_symop_operation_xyz
'x,y,z'
'-x,-y,-z'
'-x,y,-z+1/2'
'x,-y,z+1/2'
'x+1/2,y+1/2,z'
'-x+1/2,-y+1/2,-z'
'-x+1/2,y+1/2,-z+1/2'
'x+1/2,-y+1/2,z+1/2'
loop_
_atom_site_label
_atom_site_type_symbol
_atom_site_fract_x
_atom_site_fract_y
_atom_site_fract_z
Pr1 Pr 0.057 0.116 0.097
Pr2 Pr 0.089 0.331 0.925
Pr3 Pr 0.246 0.287 0.328
Nd1 Nd 0.000 0.437 0.250
Tm1 Tm 0.234 0.466 0.593
Mg1 Mg 0.000 0.098 0.750
# - energy (eV per atom) = -4.30
# - V (Å³/cell) = 1359
# - energy of formation from the pure elements (eV per atom) = 0.1028